--- i ---
Below is a relaxed Mg3TiAs crystal, with properties calculated at the GGA-PBE level.

a = 4.9809 Å, b = 4.9809 Å, c = 4.9809 Å
α = 90.00°, β = 90.00°, γ = 90.00°
With the nearest neighbours (Å) after each atom.
Fractional coordinates of all 5 atoms:
1 As 0.0000 0.0000 0.0000  6 Mg 2.49
2 Mg 0.0000 0.5000 0.0000  2 As 2.49
3 Mg 0.0000 0.0000 0.5000  2 As 2.49
4 Mg 0.5000 0.0000 0.0000  2 As 2.49
5 Ti 0.5000 0.5000 0.5000  12 Mg 3.52

Computed properties:
Total moment: 0.0 Bohr magnetons per cell
N(E_F): 0.9241 states/eV/atom

--- ii ---
Below is a relaxed Mg3TiAs crystal, with properties calculated at the GGA-PBE level.

a = 5.2750 Å, b = 5.2750 Å, c = 5.2750 Å
α = 90.00°, β = 90.00°, γ = 90.00°
With the nearest neighbours (Å) after each atom.
Fractional coordinates of all 5 atoms:
1 As 0.5000 0.5000 0.5000  12 Mg 3.73
2 Mg 0.0000 0.5000 0.0000  2 Ti 2.64
3 Mg 0.0000 0.0000 0.5000  2 Ti 2.64
4 Mg 0.5000 0.0000 0.0000  2 Ti 2.64
5 Ti 0.0000 0.0000 0.0000  6 Mg 2.64

Computed properties:
Total moment: 2.3 Bohr magnetons per cell
N(E_F): 1.1666 states/eV/atom

Tell me which of them is the least stable. Sure, it is ii.

--- i ---
Below is a relaxed MgTi3As crystal, with properties calculated at the GGA-PBE level.

a = 4.7428 Å, b = 4.7428 Å, c = 4.7428 Å
α = 90.00°, β = 90.00°, γ = 90.00°
With the nearest neighbours (Å) after each atom.
Fractional coordinates of all 5 atoms:
1 As 0.0000 0.0000 0.0000  6 Ti 2.37
2 Mg 0.5000 0.5000 0.5000  12 Ti 3.35
3 Ti 0.0000 0.5000 0.0000  2 As 2.37
4 Ti 0.0000 0.0000 0.5000  2 As 2.37
5 Ti 0.5000 0.0000 0.0000  2 As 2.37

Computed properties:
Total moment: 0.0 Bohr magnetons per cell
N(E_F): 1.3068 states/eV/atom

--- ii ---
Below is a relaxed MgTi3As crystal, with properties calculated at the GGA-PBE level.

a = 4.7157 Å, b = 4.7157 Å, c = 4.7157 Å
α = 90.00°, β = 90.00°, γ = 90.00°
With the nearest neighbours (Å) after each atom.
Fractional coordinates of all 5 atoms:
1 As 0.5000 0.5000 0.5000  12 Ti 3.33
2 Mg 0.0000 0.0000 0.0000  6 Ti 2.36
3 Ti 0.0000 0.5000 0.0000  2 Mg 2.36
4 Ti 0.0000 0.0000 0.5000  2 Mg 2.36
5 Ti 0.5000 0.0000 0.0000  2 Mg 2.36

Computed properties:
Total moment: 1.4 Bohr magnetons per cell
N(E_F): 0.9355 states/eV/atom

Tell me which of them is the least stable. Sure, it is ii.